# LaAgTe2N, optimized geometry, DFT PBE-GGA
# - Total magnetic moment: 0.000 μB per cell
# - Offset from the most stable computed form: 195.4 meV per atom
# - E_form (uncorrected): 1.54 eV per formula unit
# - Crystal system: tetragonal
# - N(E_F): 4.16 states/eV/cell
# - Calculated total energy: -4.170 eV per atom
data_LaAgTe2N
_symmetry_space_group_name_H-M 'P 4/m m m'
_symmetry_Int_Tables_number 123
_symmetry_space_group_name_Hall '-P 4 2'
_cell_length_a 6.494
_cell_length_b 6.494
_cell_length_c 3.975
_cell_angle_alpha 90.00
_cell_angle_beta 90.00
_cell_angle_gamma 90.00
loop_
_atom_site_label
_atom_site_type_symbol
_atom_site_fract_x
_atom_site_fract_y
_atom_site_fract_z
_atom_site_occupancy
La1 La 0.000 0.000 0.000 1
Ag1 Ag 0.500 0.500 0.500 1
Te1 Te 0.000 0.500 0.000 1
N1 N 0.000 0.000 0.500 1

# LaAgTeN2, optimized geometry, DFT PBE-GGA
# - Total magnetic moment: 1.848 μB per cell
# - Offset from the most stable computed form: 128.3 meV per atom
# - E_form (uncorrected): 4.40 eV per formula unit
# - Crystal system: tetragonal
# - N(E_F): 3.65 states/eV/cell
# - Calculated total energy: -4.635 eV per atom
data_LaAgTeN2
_symmetry_space_group_name_H-M 'P 4/m m m'
_symmetry_Int_Tables_number 123
_symmetry_space_group_name_Hall '-P 4 2'
_cell_length_a 4.453
_cell_length_b 4.453
_cell_length_c 5.219
_cell_angle_alpha 90.00
_cell_angle_beta 90.00
_cell_angle_gamma 90.00
loop_
_atom_site_label
_atom_site_type_symbol
_atom_site_fract_x
_atom_site_fract_y
_atom_site_fract_z
_atom_site_occupancy
La1 La 0.000 0.000 0.000 1
Ag1 Ag 0.500 0.500 0.500 1
Te1 Te 0.500 0.500 0.000 1
N1 N 0.000 0.500 0.500 1

# LaAgTe2N, optimized geometry, DFT PBE-GGA
# - Total magnetic moment: 1.807 μB per cell
# - Offset from the most stable computed form: 0.0 meV per atom
# - E_form (uncorrected): 0.56 eV per formula unit
# - Crystal system: tetragonal
# - N(E_F): 1.46 states/eV/cell
# - Calculated total energy: -4.365 eV per atom
data_LaAgTe2N
_symmetry_space_group_name_H-M 'P 4/m m m'
_symmetry_Int_Tables_number 123
_symmetry_space_group_name_Hall '-P 4 2'
_cell_length_a 5.604
_cell_length_b 5.604
_cell_length_c 4.175
_cell_angle_alpha 90.00
_cell_angle_beta 90.00
_cell_angle_gamma 90.00
loop_
_atom_site_label
_atom_site_type_symbol
_atom_site_fract_x
_atom_site_fract_y
_atom_site_fract_z
_atom_site_occupancy
La1 La 0.000 0.000 0.000 1
Ag1 Ag 0.500 0.500 0.500 1
Te1 Te 0.000 0.500 0.500 1
N1 N 0.500 0.500 0.000 1

# LaAgTeN2, optimized geometry, DFT PBE-GGA
# - Total magnetic moment: 0.423 μB per cell
# - Offset from the most stable computed form: 0.0 meV per atom
# - E_form (uncorrected): 3.76 eV per formula unit
# - Crystal system: tetragonal
# - N(E_F): 5.89 states/eV/cell
# - Calculated total energy: -4.763 eV per atom
data_LaAgTeN2
_symmetry_space_group_name_H-M 'P 4/m m m'
_symmetry_Int_Tables_number 123
_symmetry_space_group_name_Hall '-P 4 2'
_cell_length_a 4.233
_cell_length_b 4.233
_cell_length_c 7.069
_cell_angle_alpha 90.00
_cell_angle_beta 90.00
_cell_angle_gamma 90.00
loop_
_atom_site_label
_atom_site_type_symbol
_atom_site_fract_x
_atom_site_fract_y
_atom_site_fract_z
_atom_site_occupancy
La1 La 0.000 0.000 0.000 1
Ag1 Ag 0.500 0.500 0.500 1
Te1 Te 0.000 0.000 0.500 1
N1 N 0.000 0.500 0.000 1

# La2VAgN, optimized geometry, DFT PBE-GGA
# - Total magnetic moment: 2.265 μB per cell
# - E_form (uncorrected): -2.99 eV per formula unit
# - Crystal system: tetragonal
# - N(E_F): 2.65 states/eV/cell
# - Calculated total energy: -6.628 eV per atom
data_La2VAgN
_symmetry_space_group_name_H-M 'P 4/m m m'
_symmetry_Int_Tables_number 123
_symmetry_space_group_name_Hall '-P 4 2'
_cell_length_a 5.333
_cell_length_b 5.333
_cell_length_c 3.896
_cell_angle_alpha 90.00
_cell_angle_beta 90.00
_cell_angle_gamma 90.00
loop_
_atom_site_label
_atom_site_type_symbol
_atom_site_fract_x
_atom_site_fract_y
_atom_site_fract_z
_atom_site_occupancy
La1 La 0.000 0.500 0.000 1
V1 V 0.000 0.000 0.500 1
Ag1 Ag 0.500 0.500 0.500 1
N1 N 0.000 0.000 0.000 1

# Na2La2Ag, optimized geometry, DFT PBE-GGA
# - Total magnetic moment: 0.000 μB per cell
# - Offset from the most stable computed form: 0.0 meV per atom
# - Crystal system: tetragonal
# - N(E_F): 14.02 states/eV/cell
# - Calculated total energy: -2.862 eV per atom
# - Energy of formation: 207 meV per atom
data_Na2La2Ag
_symmetry_space_group_name_H-M 'P 4/m b m'
_symmetry_Int_Tables_number 127
_symmetry_space_group_name_Hall '-P 4 2ab'
_cell_length_a 7.275
_cell_length_b 7.275
_cell_length_c 5.812
_cell_angle_alpha 90.00
_cell_angle_beta 90.00
_cell_angle_gamma 90.00
loop_
_atom_site_label
_atom_site_type_symbol
_atom_site_fract_x
_atom_site_fract_y
_atom_site_fract_z
_atom_site_occupancy
Na1 Na 0.140 0.360 0.000 1
La1 La 0.177 0.677 0.500 1
Ag1 Ag 0.000 0.000 0.000 1